This record from Alexandria describes an optimized crystal structure of Tm12MgPb7. The functional is PBE.

Cell: 15.2023 15.2023 9.0132 Å, 90.00 90.00 120.00°
Space group R-3m (No. 166, hexagonal axes)
One atom of each set of equivalent atoms:
Tm  0.0000  0.2783  0.0000 (multiplicity 18)
Tm  0.1104  0.5552  0.0626 (multiplicity 18)
Mg  0.0000  0.0000  0.0000 (multiplicity 3)
Pb  0.0000  0.0000  0.5000 (multiplicity 3)
Pb  0.1030  0.2059  0.7656 (multiplicity 18)

Values from the calculation:
ΔH_f (0 K), eV per formula unit: -3.16
Total energy, eV per cell: -253.1

=====

This record from Alexandria describes an optimized crystal structure of La12Er3Hg. The functional is PBE.

Cell: 5.1411 5.1411 20.7490 Å, 90.00 90.00 90.00°
Space group P4/mmm (No. 123)
One atom of each set of equivalent atoms:
La  0.0000  0.0000  0.0000 (multiplicity 1)
La  0.0000  0.0000  0.2475 (multiplicity 2)
La  0.0000  0.0000  0.5000 (multiplicity 1)
La  0.0000  0.5000  0.1222 (multiplicity 4)
La  0.0000  0.5000  0.3740 (multiplicity 4)
Er  0.5000  0.5000  0.2477 (multiplicity 2)
Er  0.5000  0.5000  0.5000 (multiplicity 1)
Hg  0.5000  0.5000  0.0000 (multiplicity 1)

Values from the calculation:
ΔH_f (0 K), eV per formula unit: -0.61
Total energy, eV per cell: -73.7

=====

This record from Alexandria describes an optimized crystal structure of ReSi2Au. The functional is PBE.

Cell: 3.7241 3.7241 8.5535 Å, 90.00 90.00 90.00°
Space group I-4m2 (No. 119)
One atom of each set of equivalent atoms:
Re  0.0000  0.0000  0.0000 (multiplicity 2)
Si  0.0000  0.0000  0.5000 (multiplicity 2)
Si  0.0000  0.5000  0.7500 (multiplicity 2)
Au  0.0000  0.5000  0.2500 (multiplicity 2)

Values from the calculation:
E above lowest polymorph, meV per atom: 398
Formation energy without anion corrections, kJ/mol of atoms: 36.6
Total energy, eV per cell: -50.1